Entry 1:
A relaxed Nd4Hg2Rh crystal. Source: Alexandria, functional GGA-PBE.

As for the space group: C2/m, No. 12. The value obtained for the polymorph energy (0 for the lowest one) is 58.6 meV/atom.

Unit cell a=8.7968 b=8.7968 c=6.7546 alpha=111.71 beta=111.71 gamma=26.39
Fractional positions:
Nd1 0.0943 0.0943 0.4416
Nd2 0.3911 0.3911 0.0521
Nd3 0.6089 0.6089 0.9479
Nd4 0.9057 0.9057 0.5584
Hg1 0.2550 0.2550 0.2937
Hg2 0.7450 0.7450 0.7063
Rh1 0.0000 0.0000 0.0000

---

Entry 2:
A relaxed Nd3HgRh8 crystal. Source: Alexandria, functional GGA-PBE.

As for the space group: R3m, No. 160.

Unit cell a=9.3615 b=9.3615 c=9.3615 alpha=33.35 beta=33.35 gamma=33.35
Fractional positions:
Nd1 0.0000 0.0000 0.0000
Nd2 0.1290 0.1290 0.1290
Nd3 0.5102 0.5102 0.5102
Hg1 0.6320 0.6320 0.6320
Rh1 0.0665 0.5668 0.5668
Rh2 0.0676 0.0676 0.5668
Rh3 0.0676 0.5668 0.0676
Rh4 0.3168 0.3168 0.3168
Rh5 0.5668 0.0665 0.5668
Rh6 0.5668 0.0676 0.0676
Rh7 0.5668 0.5668 0.0665
Rh8 0.8169 0.8169 0.8169

---

Entry 3:
A relaxed Nd2Hg2Rh crystal. Source: Alexandria, functional GGA-PBE.

As for the space group: C2/m, No. 12.

Unit cell a=6.4621 b=6.4621 c=11.6836 alpha=112.42 beta=112.42 gamma=35.83
Fractional positions:
Nd1 0.0987 0.0987 0.3852
Nd2 0.1842 0.1842 0.1090
Nd3 0.8158 0.8158 0.8910
Nd4 0.9013 0.9013 0.6148
Hg1 0.3891 0.3891 0.3836
Hg2 0.4640 0.4640 0.1347
Hg3 0.5360 0.5360 0.8653
Hg4 0.6109 0.6109 0.6164
Rh1 0.2880 0.2880 0.7038
Rh2 0.7120 0.7120 0.2962

---

Entry 4:
A relaxed Nd6Hg2Rh crystal. Source: Alexandria, functional GGA-PBE.

As for the space group: Amm2, No. 38. The value obtained for the polymorph energy (0 for the lowest one) is 0.0 meV/atom.

Unit cell a=3.8356 b=8.9055 c=8.9055 alpha=120.03 beta=90.00 gamma=90.00
Fractional positions:
Nd1 0.0000 0.0000 0.0000
Nd2 0.0000 0.5146 0.7578
Nd3 0.0000 0.7578 0.5146
Nd4 0.5000 0.1611 0.7579
Nd5 0.5000 0.3541 0.3541
Nd6 0.5000 0.7579 0.1611
Hg1 0.0000 0.0913 0.4244
Hg2 0.0000 0.4244 0.0913
Rh1 0.5000 0.7568 0.7568

---

Entry 5:
A relaxed Nd2Hg3Rh2 crystal. Source: Alexandria, functional GGA-PBE.

As for the space group: P2/m, No. 10. The value obtained for the polymorph energy (0 for the lowest one) is 103.3 meV/atom.

Unit cell a=3.8747 b=4.0197 c=11.9251 alpha=90.00 beta=99.46 gamma=90.00
Fractional positions:
Nd1 0.0880 0.0000 0.1769
Nd2 0.9120 0.0000 0.8231
Hg1 0.2039 0.5000 0.4079
Hg2 0.5000 0.5000 0.0000
Hg3 0.7961 0.5000 0.5921
Rh1 0.3832 0.5000 0.7652
Rh2 0.6168 0.5000 0.2348

---

Entry 6:
A relaxed Nd5Hg2Rh2 crystal. Source: Alexandria, functional GGA-PBE.

As for the space group: Cmce, No. 64.

Unit cell a=8.9431 b=8.9431 c=8.0454 alpha=90.00 beta=90.00 gamma=50.57
Fractional positions:
Nd1 0.0000 0.0000 0.0000
Nd2 0.0469 0.7089 0.6734
Nd3 0.2089 0.5469 0.1734
Nd4 0.2911 0.9531 0.6734
Nd5 0.4531 0.7911 0.1734
Nd6 0.5000 0.5000 0.5000
Nd7 0.5469 0.2089 0.8266
Nd8 0.7089 0.0469 0.3266
Nd9 0.7911 0.4531 0.8266
Nd10 0.9531 0.2911 0.3266
Hg1 0.2141 0.2141 0.0000
Hg2 0.2859 0.2859 0.5000
Hg3 0.7141 0.7141 0.5000
Hg4 0.7859 0.7859 0.0000
Rh1 0.1305 0.8695 0.3696
Rh2 0.3695 0.6305 0.8696
Rh3 0.6305 0.3695 0.1304
Rh4 0.8695 0.1305 0.6304

---

Entry 7:
A relaxed Nd4Hg3Rh crystal. Source: Alexandria, functional GGA-PBE.

As for the space group: P4/mmm, No. 123.

Unit cell a=3.7204 b=3.7204 c=15.4175 alpha=90.00 beta=90.00 gamma=90.00
Fractional positions:
Nd1 0.0000 0.0000 0.1073
Nd2 0.0000 0.0000 0.3706
Nd3 0.0000 0.0000 0.6294
Nd4 0.0000 0.0000 0.8927
Hg1 0.5000 0.5000 0.2431
Hg2 0.5000 0.5000 0.5000
Hg3 0.5000 0.5000 0.7569
Rh1 0.5000 0.5000 0.0000

---

Entry 8:
A relaxed Nd4HgRh2 crystal. Source: Alexandria, functional GGA-PBE.

As for the space group: I-42d, No. 122. The value obtained for the polymorph energy (0 for the lowest one) is 22.4 meV/atom.

Unit cell a=7.8871 b=7.8871 c=7.8871 alpha=108.61 beta=108.61 gamma=111.20
Fractional positions:
Nd1 0.0076 0.7617 0.1131
Nd2 0.1014 0.4883 0.7459
Nd3 0.1055 0.9924 0.7541
Nd4 0.2383 0.3514 0.2459
Nd5 0.5117 0.2576 0.6131
Nd6 0.6445 0.8986 0.3869
Nd7 0.6486 0.8945 0.8869
Nd8 0.7424 0.3555 0.2541
Hg1 0.2500 0.7500 0.5000
Hg2 0.5000 0.5000 0.0000
Rh1 0.0022 0.1250 0.3772
Rh2 0.3750 0.9978 0.1228
Rh3 0.7478 0.6250 0.6228
Rh4 0.8750 0.2522 0.8772

---

| no. | DFT total energy (eV per cell) | energy of formation from the pure elements (eV per atom) |
| --- | --- | --- |
| 1 | -29.8 | -0.398 |
| 2 | -79.3 | -0.490 |
| 3 | -40.3 | -0.532 |
| 4 | -40.1 | -0.392 |
| 5 | -27.7 | -0.361 |
| 6 | -88.0 | -0.542 |
| 7 | -31.4 | -0.513 |
| 8 | -75.2 | -0.500 |